[1]
Material: Be2NF4
Method: DFT, PBE
State: relaxed

- density (Mg/m³) = 2.00
- total magnetization (μB/cell) = 2.360
- ΔE_f (raw) (kJ per mole of atoms) = -75

a = 6.049 Å, b = 6.049 Å, c = 6.049 Å
α = 140.21°, β = 140.21°, γ = 57.54°
Sites, in units of the cell vectors:
Be  0.103  0.103  0.000
Be  0.897  0.897  0.000
N  0.500  0.500  0.000
F  0.000  0.500  0.500
F  0.233  0.233  0.000
F  0.500  0.000  0.500
F  0.767  0.767  0.000

---

[2]
Material: BeNF2
Method: DFT, PBE
State: relaxed

- density (Mg/m³) = 2.32
- polymorph energy (0 for the lowest one) (eV per atom) = 0.2347
- total magnetization (μB/cell) = 1.284
- ΔE_f (raw) (kJ per mole of atoms) = -84

a = 8.227 Å, b = 8.227 Å, c = 8.227 Å
α = 17.45°, β = 17.45°, γ = 17.45°
Sites, in units of the cell vectors:
Be  0.000  0.000  0.000
N  0.500  0.500  0.500
F  0.372  0.372  0.372
F  0.628  0.628  0.628